This record from the Alexandria database describes Hg2TeBr after structural relaxation. The functional is GGA-PBE.

## Properties
Uncorrected formation energy in eV/atom: -0.0247

abc: 7.3077 7.3077 7.3077
angles: 36.77 36.77 36.77
Last column: nearest neighbours and their distance in Å.
Atoms (fractional coordinates):
1 Hg 0.0000 0.0000 0.0000  3 Te 2.84
2 Hg 0.2411 0.2411 0.2411  3 Br 3.08, 3 Hg 3.26
3 Te 0.7152 0.7152 0.7152  3 Hg 2.84
4 Br 0.4984 0.4984 0.4984  3 Hg 3.08

This record from the Alexandria database describes AlAgP3 after structural relaxation. The functional is GGA-PBE.

## Properties
DFT formation energy in kJ/mol of atoms: 74.9

abc: 4.6440 4.6440 4.6440
angles: 90.00 90.00 90.00
Last column: nearest neighbours and their distance in Å.
Atoms (fractional coordinates):
1 Al 0.0000 0.0000 0.0000  6 P 2.32
2 Ag 0.5000 0.5000 0.5000  12 P 3.28
3 P 0.0000 0.0000 0.5000  2 Al 2.32
4 P 0.0000 0.5000 0.0000  2 Al 2.32
5 P 0.5000 0.0000 0.0000  2 Al 2.32

This record from the Alexandria database describes LaAlTc2 after structural relaxation. The functional is GGA-PBE.

## Properties
DFT formation energy in kJ/mol of atoms: 25.1

abc: 5.3752 5.3752 2.9608
angles: 105.30 105.30 109.49
Last column: nearest neighbours and their distance in Å.
Atoms (fractional coordinates):
1 La 0.0000 0.0000 0.0000  4 Tc 2.70, 2 La 2.96
2 Al 0.5000 0.5000 0.0000  4 Tc 2.70, 2 Al 2.96
3 Tc 0.0000 0.5000 0.5000  2 La 2.70, 2 Al 2.70, 2 Tc 2.96
4 Tc 0.5000 0.0000 0.5000  2 La 2.70, 2 Al 2.70, 2 Tc 2.96

| no. | VASP energy (eV/f.u.) | density (g/cm³) |
| --- | --- | --- |
| 1 | -5.52 | 8.1 |
| 2 | -18.94 | 3.8 |
| 3 | -28.36 | 8.4 |